[1]
A relaxed Y3Hg crystal. Source: the Alexandria database, functional GGA-PBE.

Output
ΔH_f (0 K) ... -40 meV per atom

Cell and atoms, written as CIF:
```
data_Y3Hg
_chemical_formula_sum 'Y12 Hg4'
_cell_length_a 7.6751
_cell_length_b 7.6751
_cell_length_c 7.6751
_cell_angle_alpha 90.00
_cell_angle_beta 90.00
_cell_angle_gamma 90.00
_symmetry_space_group_name_H-M 'F m -3 m'
_symmetry_Int_Tables_number 225
_symmetry_space_group_name_Hall '-F 4 2 3'
loop_
_atom_site_label
_atom_site_fract_x
_atom_site_fract_y
_atom_site_fract_z
Y1 0.0000 0.0000 0.0000
Y2 0.2500 0.2500 0.2500
Hg1 0.0000 0.0000 0.5000
```

[2]
A relaxed CeDy6Tm5 crystal. Source: the Alexandria database, functional GGA-PBE.

Output
ΔH_f (0 K) ... 34 meV per atom

Cell and atoms, written as CIF:
```
data_CeDy6Tm5
_chemical_formula_sum 'Ce2 Dy12 Tm10'
_cell_length_a 17.2359
_cell_length_b 7.0290
_cell_length_c 6.0976
_cell_angle_alpha 90.00
_cell_angle_beta 90.01
_cell_angle_gamma 90.00
_symmetry_space_group_name_H-M 'C 1 2/m 1'
_symmetry_Int_Tables_number 12
loop_
_symmetry_equiv_pos_as_xyz
'x,y,z'
'-x,-y,-z'
'-x,y,-z'
'x,-y,z'
'x+1/2,y+1/2,z'
'-x+1/2,-y+1/2,-z'
'-x+1/2,y+1/2,-z'
'x+1/2,-y+1/2,z'
loop_
_atom_site_label
_atom_site_fract_x
_atom_site_fract_y
_atom_site_fract_z
Ce1 0.0000 0.0000 0.0000
Dy1 0.0000 0.2470 0.5000
Dy2 0.1661 0.2486 0.8349
Tm1 0.0000 0.5000 0.0000
Tm2 0.1670 0.0000 0.3317
Tm3 0.1677 0.5000 0.3340
```

[3]
A relaxed BiBS crystal. Source: the Alexandria database, functional GGA-PBE.

Output
E_form (uncorrected) ... 283 meV/atom

Cell and atoms, written as CIF:
```
data_BiBS
_chemical_formula_sum 'Bi4 B4 S4'
_cell_length_a 5.5274
_cell_length_b 3.1512
_cell_length_c 14.1897
_cell_angle_alpha 90.00
_cell_angle_beta 93.93
_cell_angle_gamma 90.00
_symmetry_space_group_name_H-M 'C 1 2/m 1'
_symmetry_Int_Tables_number 12
loop_
_symmetry_equiv_pos_as_xyz
'x,y,z'
'-x,-y,-z'
'-x,y,-z'
'x,-y,z'
'x+1/2,y+1/2,z'
'-x+1/2,-y+1/2,-z'
'-x+1/2,y+1/2,-z'
'x+1/2,-y+1/2,z'
loop_
_atom_site_label
_atom_site_fract_x
_atom_site_fract_y
_atom_site_fract_z
Bi1 0.0171 0.0000 0.1235
B1 0.1378 0.5000 0.2971
S1 0.1834 0.5000 0.6470
```

[4]
A relaxed BeAg2F5 crystal. Source: the Alexandria database, functional GGA-PBE.

Output
E_form (uncorrected) ... -1874 meV/atom

Cell and atoms, written as CIF:
```
data_BeAg2F5
_chemical_formula_sum 'Be4 Ag8 F20'
_cell_length_a 9.3592
_cell_length_b 7.7984
_cell_length_c 8.3179
_cell_angle_alpha 90.00
_cell_angle_beta 124.11
_cell_angle_gamma 90.00
_symmetry_space_group_name_H-M 'C 1 2/c 1'
_symmetry_Int_Tables_number 15
loop_
_symmetry_equiv_pos_as_xyz
'x,y,z'
'-x,-y,-z'
'-x,y,-z+1/2'
'x,-y,z+1/2'
'x+1/2,y+1/2,z'
'-x+1/2,-y+1/2,-z'
'-x+1/2,y+1/2,-z+1/2'
'x+1/2,-y+1/2,z+1/2'
loop_
_atom_site_label
_atom_site_fract_x
_atom_site_fract_y
_atom_site_fract_z
Be1 0.0000 0.1245 0.2500
Ag1 0.0000 0.5000 0.0000
Ag2 0.2500 0.2500 0.0000
F1 0.0000 0.3754 0.7500
F2 0.0360 0.2389 0.1203
F3 0.1658 0.0103 0.3782
```

[5]
A relaxed PaTl2Au2Se4 crystal. Source: the Alexandria database, functional GGA-PBE.

Output
E_form (uncorrected) ... -616 meV/atom

Cell and atoms, written as CIF:
```
data_PaTl2Au2Se4
_chemical_formula_sum 'Pa2 Tl4 Au4 Se8'
_cell_length_a 15.3455
_cell_length_b 4.1207
_cell_length_c 8.3964
_cell_angle_alpha 90.00
_cell_angle_beta 112.44
_cell_angle_gamma 90.00
_symmetry_space_group_name_H-M 'C 1 2/m 1'
_symmetry_Int_Tables_number 12
loop_
_symmetry_equiv_pos_as_xyz
'x,y,z'
'-x,-y,-z'
'-x,y,-z'
'x,-y,z'
'x+1/2,y+1/2,z'
'-x+1/2,-y+1/2,-z'
'-x+1/2,y+1/2,-z'
'x+1/2,-y+1/2,z'
loop_
_atom_site_label
_atom_site_fract_x
_atom_site_fract_y
_atom_site_fract_z
Pa1 0.0000 0.0000 0.0000
Tl1 0.1308 0.0000 0.5920
Au1 0.1977 0.5000 0.0430
Se1 0.0232 0.5000 0.7846
Se2 0.1866 0.0000 0.2399
```

[6]
A relaxed ScAsPdBr2 crystal. Source: the Alexandria database, functional GGA-PBE.

Output
Polymorph energy (0 for the lowest one) ... 0.559 eV per formula unit
E_form (uncorrected) ... -30 meV/atom

Cell and atoms, written as CIF:
```
data_ScAsPdBr2
_chemical_formula_sum 'Sc1 As1 Pd1 Br2'
_cell_length_a 4.9781
_cell_length_b 4.9781
_cell_length_c 5.1269
_cell_angle_alpha 90.00
_cell_angle_beta 90.00
_cell_angle_gamma 90.00
_symmetry_space_group_name_H-M 'P 4/m m m'
_symmetry_Int_Tables_number 123
_symmetry_space_group_name_Hall '-P 4 2'
loop_
_atom_site_label
_atom_site_fract_x
_atom_site_fract_y
_atom_site_fract_z
Sc1 0.0000 0.0000 0.0000
As1 0.5000 0.5000 0.0000
Pd1 0.5000 0.5000 0.5000
Br1 0.0000 0.5000 0.5000
```

[7]
A relaxed GePtO2 crystal. Source: the Alexandria database, functional GGA-PBE.

Output
E_form (uncorrected) ... -838 meV/atom

Cell and atoms, written as CIF:
```
data_GePtO2
_chemical_formula_sum 'Ge2 Pt2 O4'
_cell_length_a 5.9145
_cell_length_b 2.8050
_cell_length_c 6.4536
_cell_angle_alpha 90.00
_cell_angle_beta 103.09
_cell_angle_gamma 90.00
_symmetry_space_group_name_H-M 'P 1 m 1'
_symmetry_Int_Tables_number 6
loop_
_symmetry_equiv_pos_as_xyz
'x,y,z'
'x,-y,z'
loop_
_atom_site_label
_atom_site_fract_x
_atom_site_fract_y
_atom_site_fract_z
Ge1 0.0000 0.0000 0.0000
Ge2 0.3442 0.5000 0.5471
Pt1 0.5497 0.5000 0.2733
Pt2 0.8212 0.0000 0.6140
O1 0.1173 0.0000 0.5028
O2 0.2356 0.5000 0.0264
O3 0.5174 0.0000 0.7192
O4 0.8404 0.5000 0.0992
```

[8]
A relaxed ScReSe2 crystal. Source: the Alexandria database, functional GGA-PBE.

Output
Polymorph energy (0 for the lowest one) ... 0.649 eV per formula unit
E_form (uncorrected) ... -327 meV/atom

Cell and atoms, written as CIF:
```
data_ScReSe2
_chemical_formula_sum 'Sc2 Re2 Se4'
_cell_length_a 7.6158
_cell_length_b 3.3808
_cell_length_c 5.8039
_cell_angle_alpha 90.00
_cell_angle_beta 103.63
_cell_angle_gamma 90.00
_symmetry_space_group_name_H-M 'C 1 2/m 1'
_symmetry_Int_Tables_number 12
loop_
_symmetry_equiv_pos_as_xyz
'x,y,z'
'-x,-y,-z'
'-x,y,-z'
'x,-y,z'
'x+1/2,y+1/2,z'
'-x+1/2,-y+1/2,-z'
'-x+1/2,y+1/2,-z'
'x+1/2,-y+1/2,z'
loop_
_atom_site_label
_atom_site_fract_x
_atom_site_fract_y
_atom_site_fract_z
Sc1 0.0000 0.0000 0.0000
Re1 0.0000 0.5000 0.5000
Se1 0.2426 0.0000 0.7211
```

[9]
A relaxed La7GeP5 crystal. Source: the Alexandria database, functional GGA-PBE.

Output
ΔH_f (0 K) ... -1381 meV per atom

Cell and atoms, written as CIF:
```
data_La7GeP5
_chemical_formula_sum 'La28 Ge4 P20'
_cell_length_a 4.2748
_cell_length_b 14.0388
_cell_length_c 25.1158
_cell_angle_alpha 90.00
_cell_angle_beta 90.00
_cell_angle_gamma 90.00
_symmetry_space_group_name_H-M 'C m c m'
_symmetry_Int_Tables_number 63
_symmetry_space_group_name_Hall '-C 2c 2'
loop_
_atom_site_label
_atom_site_fract_x
_atom_site_fract_y
_atom_site_fract_z
La1 0.0000 0.0474 0.2500
La2 0.0000 0.1367 0.5352
La3 0.0000 0.3174 0.1758
La4 0.0000 0.4116 0.6058
Ge1 0.0000 0.2978 0.7500
P1 0.0000 0.0461 0.6457
P2 0.0000 0.2268 0.0739
P3 0.0000 0.5000 0.0000
```

[10]
A relaxed Cr2RuW crystal. Source: the Alexandria database, functional GGA-PBE.

Output
ΔH_f (0 K) ... 350 meV per atom
Polymorph energy (0 for the lowest one) ... 1.054 eV per formula unit

Cell and atoms, written as CIF:
```
data_Cr2RuW
_chemical_formula_sum 'Cr6 Ru3 W3'
_cell_length_a 2.6767
_cell_length_b 2.6767
_cell_length_c 26.6644
_cell_angle_alpha 90.00
_cell_angle_beta 90.00
_cell_angle_gamma 120.00
_symmetry_space_group_name_H-M 'R -3 m'
_symmetry_Int_Tables_number 166
_symmetry_space_group_name_Hall '-R 3 2"'
loop_
_atom_site_label
_atom_site_fract_x
_atom_site_fract_y
_atom_site_fract_z
Cr1 0.0000 0.0000 0.2459
Ru1 0.0000 0.0000 0.5000
W1 0.0000 0.0000 0.0000
```

[11]
A relaxed Be3Tl crystal. Source: the Alexandria database, functional GGA-PBE.

Output
ΔH_f (0 K) ... 670 meV per atom
Polymorph energy (0 for the lowest one) ... 1.257 eV per formula unit

Cell and atoms, written as CIF:
```
data_Be3Tl
_chemical_formula_sum 'Be12 Tl4'
_cell_length_a 3.7477
_cell_length_b 3.7477
_cell_length_c 15.5120
_cell_angle_alpha 90.00
_cell_angle_beta 90.00
_cell_angle_gamma 90.00
_symmetry_space_group_name_H-M 'I 4/m m m'
_symmetry_Int_Tables_number 139
_symmetry_space_group_name_Hall '-I 4 2'
loop_
_atom_site_label
_atom_site_fract_x
_atom_site_fract_y
_atom_site_fract_z
Be1 0.0000 0.0000 0.0689
Be2 0.0000 0.5000 0.0000
Be3 0.0000 0.5000 0.2500
Tl1 0.0000 0.0000 0.3661
```

[12]
A relaxed Sc2IrPt crystal. Source: the Alexandria database, functional GGA-PBE.

Output
ΔH_f (0 K) ... -1120 meV per atom

Cell and atoms, written as CIF:
```
data_Sc2IrPt
_chemical_formula_sum 'Sc4 Ir2 Pt2'
_cell_length_a 6.5598
_cell_length_b 6.6582
_cell_length_c 3.1880
_cell_angle_alpha 90.00
_cell_angle_beta 90.00
_cell_angle_gamma 90.00
_symmetry_space_group_name_H-M 'C m m m'
_symmetry_Int_Tables_number 65
_symmetry_space_group_name_Hall '-C 2 2'
loop_
_atom_site_label
_atom_site_fract_x
_atom_site_fract_y
_atom_site_fract_z
Sc1 0.2500 0.2500 0.0000
Ir1 0.0000 0.0000 0.5000
Pt1 0.0000 0.5000 0.5000
```